No. 1
Material: PaZnSnOs
Method: DFT, PBE
State: optimized geometry

Cell: 4.8083 4.8083 4.8083 Å, 60.00 60.00 60.00°
Atoms (fractional coordinates):
Os (0.5000, 0.5000, 0.5000)
Pa (0.7500, 0.7500, 0.7500)
Zn (0.0000, 0.0000, 0.0000)
Sn (0.2500, 0.2500, 0.2500)

Computed properties:
uncorrected energy	-6.556	eV per atom
DFT formation energy	-0.055	eV per atom
symmetry	F-43m
calculated volume	78.61	Å³/cell
Fermi-level density of states	4.69	states/eV per cell

***

No. 2
Material: HoZrCuRh
Method: DFT, PBE
State: optimized geometry

Cell: 4.7576 4.7576 4.7576 Å, 60.00 60.00 60.00°
Atoms (fractional coordinates):
Rh (0.7500, 0.7500, 0.7500)
Zr (0.5000, 0.5000, 0.5000)
Cu (0.2500, 0.2500, 0.2500)
Ho (0.0000, 0.0000, 0.0000)

Computed properties:
uncorrected energy	-6.619	eV per atom
DFT formation energy	-0.476	eV per atom
symmetry	F-43m
calculated volume	76.15	Å³/cell
Fermi-level density of states	3.10	states/eV per cell

***

No. 3
Material: YTcIr
Method: DFT, PBE
State: optimized geometry

Cell: 2.9600 2.9600 7.1664 Å, 90.00 90.00 120.00°
Atoms (fractional coordinates):
Y (0.3333, 0.6667, 0.6698)
Tc (0.6667, 0.3333, 0.3062)
Ir (0.0000, 0.0000, 0.0241)

Computed properties:
uncorrected energy	-8.189	eV per atom
DFT formation energy	0.375	eV per atom
symmetry	P3m1
polymorph energy (0 for the lowest one)	55.9	kJ/mol of atoms
calculated volume	54.38	Å³/cell
Fermi-level density of states	4.79	states/eV per cell

***

What is the uncorrected energy in the second record?
-6.619 eV per atom

***

calculated volume of number 1 (PaZnSnOs)?
78.61 Å³/cell

***

Among the records above, which one has the highest Fermi-level density of states?
YTcIr